1.
Ir3Ru: optimized geometry, PBE.

Cell lengths 2.738, 2.738, 8.871 Å; angles 90.00, 90.00, 120.00 degrees
Atoms (fractional coordinates):
Ir 0.000 0.000 0.000
Ir 0.667 0.333 0.255
Ir 0.667 0.333 0.745
Ru 0.000 0.000 0.500

Values from the calculation:
Total magnetization   0.000 μB/cell
E   -8.9550 eV per atom
Space-group type   P-6m2


2.
ScCd2GeSb: optimized geometry, PBE.

Cell lengths 5.035, 5.035, 5.273 Å; angles 90.00, 90.00, 90.00 degrees
Atoms (fractional coordinates):
Sc 0.000 0.000 0.000
Cd 0.000 0.500 0.500
Cd 0.500 0.000 0.500
Ge 0.000 0.000 0.500
Sb 0.500 0.500 0.000

Values from the calculation:
Total magnetization   0.000 μB/cell
E   -3.2956 eV per atom
Space-group type   P4/mmm